Material: Li2MgRe
Method: DFT, GGA-PBE
State: optimized geometry

**Mass density**: 5.837 g/cm³
**E_form**: 0.389 eV/atom
**Relative energy among the computed polymorphs**: 190 meV per atom

Structure (POSCAR):
```
Li2MgRe
1.0
-0.614 -0.511 2.506
-2.845 -3.698 -1.451
3.868 -3.099 0.315
Li Mg Re
2 1 1
Cartesian
0.000 0.000 0.000
-1.729 -2.105 0.528
1.627 -1.805 1.411
0.512 -3.399 -0.568
```